Entry 1:
Density functional theory data (PBE-GGA) for a relaxed structure of LaTbPrEr2.

Calculated values
Total magnetic moment = 0.0 μB/f.u.
Formation enthalpy at 0 K = 0.350 eV/atom
Density of states at the Fermi level = 1.612 states/eV/atom
ρ = 7.2 g/cm³

a = 7.218 Å, b = 8.473 Å, c = 7.179 Å
α = 126.17°, β = 90.00°, γ = 90.00°
Element x y z (fractional)
Tb (0.750, 0.718, 0.436)
Tb (0.250, 0.282, 0.564)
La (0.750, 0.266, 0.532)
La (0.250, 0.734, 0.468)
Er (0.500, 0.314, 0.000)
Er (0.000, 0.314, 0.000)
Er (0.500, 0.686, 0.000)
Er (0.000, 0.686, 0.000)
Pr (0.750, 0.000, 0.000)
Pr (0.250, 0.000, 0.000)

Entry 2:
Density functional theory data (PBE-GGA) for a relaxed structure of LaTb2PrEr2.

Calculated values
Total magnetic moment = 0.0 μB/f.u.
Formation enthalpy at 0 K = 0.178 eV/atom
Density of states at the Fermi level = 1.647 states/eV/atom
ρ = 7.6 g/cm³

a = 3.584 Å, b = 16.131 Å, c = 7.025 Å
α = 90.00°, β = 90.00°, γ = 90.00°
Element x y z (fractional)
Er (0.000, 0.342, 0.750)
Er (0.000, 0.658, 0.250)
Er (0.500, 0.842, 0.750)
Er (0.500, 0.158, 0.250)
Tb (0.000, 0.341, 0.249)
Tb (0.500, 0.159, 0.749)
Tb (0.000, 0.659, 0.751)
Tb (0.500, 0.841, 0.251)
La (0.000, 0.000, 0.000)
La (0.500, 0.500, 0.500)
Pr (0.000, 0.000, 0.500)
Pr (0.500, 0.500, 0.000)

Entry 3:
Density functional theory data (PBE-GGA) for a relaxed structure of La4Tb2PrEr.

Calculated values
Total magnetic moment = 0.0 μB/f.u.
Formation enthalpy at 0 K = 0.088 eV/atom
Density of states at the Fermi level = 1.730 states/eV/atom
ρ = 7.0 g/cm³

a = 6.033 Å, b = 9.768 Å, c = 6.034 Å
α = 51.85°, β = 90.00°, γ = 90.00°
Element x y z (fractional)
Tb (0.000, 0.000, 0.000)
Tb (0.500, 0.000, 0.500)
La (0.000, 0.757, 0.742)
La (0.000, 0.243, 0.258)
La (0.500, 0.245, 0.755)
La (0.500, 0.755, 0.245)
Er (0.000, 0.500, 0.500)
Pr (0.500, 0.500, 0.000)

Entry 4:
Density functional theory data (PBE-GGA) for a relaxed structure of La4TbPrEr2.

Calculated values
Total magnetic moment = 0.0 μB/f.u.
Formation enthalpy at 0 K = 0.019 eV/atom
Density of states at the Fermi level = 1.393 states/eV/atom
ρ = 7.1 g/cm³

a = 5.257 Å, b = 11.354 Å, c = 5.223 Å
α = 62.60°, β = 90.00°, γ = 90.00°
Element x y z (fractional)
La (0.000, 0.246, 0.255)
La (0.000, 0.754, 0.745)
La (0.500, 0.755, 0.245)
La (0.500, 0.245, 0.755)
Er (0.000, 0.000, 0.000)
Er (0.500, 0.000, 0.500)
Pr (0.500, 0.500, 0.000)
Tb (0.000, 0.500, 0.500)

Entry 5:
Density functional theory data (PBE-GGA) for a relaxed structure of LaTbPrEr3.

Calculated values
Total magnetic moment = 0.0 μB/f.u.
Formation enthalpy at 0 K = 0.108 eV/atom
Density of states at the Fermi level = 2.010 states/eV/atom
ρ = 7.9 g/cm³

a = 5.888 Å, b = 6.434 Å, c = 11.783 Å
α = 90.00°, β = 90.00°, γ = 117.23°
Element x y z (fractional)
Er (0.325, 0.650, 0.503)
Er (0.828, 0.657, 0.250)
Er (0.325, 0.650, 0.997)
Er (0.675, 0.350, 0.003)
Er (0.172, 0.343, 0.750)
Er (0.675, 0.350, 0.497)
Pr (0.000, 0.000, 0.000)
Pr (0.000, 0.000, 0.500)
La (0.496, 0.991, 0.250)
La (0.504, 0.009, 0.750)
Tb (0.176, 0.351, 0.250)
Tb (0.824, 0.649, 0.750)

Entry 6:
Density functional theory data (PBE-GGA) for a relaxed structure of La2TbPr6Er.

Calculated values
Total magnetic moment = 0.0 μB/f.u.
Formation enthalpy at 0 K = 0.110 eV/atom
Density of states at the Fermi level = 1.560 states/eV/atom
ρ = 6.8 g/cm³

a = 10.170 Å, b = 8.973 Å, c = 8.973 Å
α = 117.83°, β = 95.32°, γ = 95.32°
Element x y z (fractional)
Pr (0.945, 0.878, 0.256)
Pr (0.555, 0.744, 0.122)
Pr (0.621, 0.501, 0.704)
Pr (0.121, 0.704, 0.501)
Pr (0.811, 0.420, 0.983)
Pr (0.689, 0.017, 0.580)
Pr (0.055, 0.122, 0.744)
Pr (0.879, 0.296, 0.499)
Pr (0.445, 0.256, 0.878)
Pr (0.379, 0.499, 0.296)
Pr (0.311, 0.983, 0.420)
Pr (0.189, 0.580, 0.017)
La (0.541, 0.194, 0.290)
La (0.041, 0.290, 0.194)
La (0.459, 0.806, 0.710)
La (0.959, 0.710, 0.806)
Tb (0.750, 0.013, 0.987)
Tb (0.250, 0.987, 0.013)
Er (0.250, 0.405, 0.595)
Er (0.750, 0.595, 0.405)